1.
{"formula": "ZrP2", "functional": "PBE-GGA", "state": "optimized geometry", "magnetic_moment_mub_per_atom": 0.0000, "final_energy_ev_per_atom": -6.534, "cell": [[5.216, 0.000, 0.000], [-2.608, 4.517, 0.000], [0.000, 0.000, 8.251]], "species": ["Zr", "Zr", "Zr", "Zr", "P", "P", "P", "P", "P", "P", "P", "P"], "frac_coords": [[0.333, 0.667, 0.056], [0.333, 0.667, 0.444], [0.667, 0.333, 0.556], [0.667, 0.333, 0.944], [0.000, 0.000, 0.000], [0.000, 0.000, 0.500], [0.180, 0.360, 0.750], [0.180, 0.820, 0.750], [0.360, 0.180, 0.250], [0.640, 0.820, 0.750], [0.820, 0.180, 0.250], [0.820, 0.640, 0.250]]}

=====

2.
{"formula": "ZrP5", "functional": "PBE-GGA", "state": "optimized geometry", "magnetic_moment_mub_per_atom": 0.0000, "final_energy_ev_per_atom": -5.922, "cell": [[3.460, 0.000, 0.000], [0.000, 3.460, 0.000], [0.000, 0.000, 9.121]], "species": ["Zr", "P", "P", "P", "P", "P"], "frac_coords": [[0.000, 0.000, 0.000], [0.000, 0.000, 0.381], [0.000, 0.000, 0.619], [0.500, 0.500, 0.125], [0.500, 0.500, 0.500], [0.500, 0.500, 0.875]]}

=====

3.
{"formula": "ZrP2", "functional": "PBE-GGA", "state": "optimized geometry", "magnetic_moment_mub_per_atom": 0.0000, "final_energy_ev_per_atom": -7.418, "cell": [[6.513, 0.000, 0.000], [0.000, 3.519, 0.000], [0.000, 0.000, 8.829]], "species": ["Zr", "Zr", "Zr", "Zr", "P", "P", "P", "P", "P", "P", "P", "P"], "frac_coords": [[0.221, 0.250, 0.163], [0.279, 0.750, 0.663], [0.721, 0.250, 0.337], [0.779, 0.750, 0.837], [0.097, 0.250, 0.857], [0.110, 0.250, 0.460], [0.390, 0.750, 0.960], [0.403, 0.750, 0.357], [0.597, 0.250, 0.643], [0.610, 0.250, 0.040], [0.890, 0.750, 0.540], [0.903, 0.750, 0.143]]}

=====

4.
{"formula": "ZrP5", "functional": "PBE-GGA", "state": "optimized geometry", "magnetic_moment_mub_per_atom": 0.0000, "final_energy_ev_per_atom": -6.121, "cell": [[10.113, 0.000, 0.000], [0.000, 3.398, 0.000], [-2.965, 0.000, 6.011]], "species": ["Zr", "Zr", "P", "P", "P", "P", "P", "P", "P", "P", "P", "P"], "frac_coords": [[0.000, 0.000, 0.000], [0.500, 0.500, 0.000], [0.190, 0.500, 0.325], [0.249, 0.000, 0.595], [0.298, 0.000, 0.053], [0.411, 0.500, 0.331], [0.479, 0.000, 0.676], [0.690, 0.000, 0.325], [0.749, 0.500, 0.595], [0.798, 0.500, 0.053], [0.911, 0.000, 0.331], [0.979, 0.500, 0.676]]}

=====

5.
{"formula": "ZrP3", "functional": "PBE-GGA", "state": "optimized geometry", "magnetic_moment_mub_per_atom": 0.0000, "final_energy_ev_per_atom": -6.336, "cell": [[5.508, 0.000, 0.000], [-2.754, 4.770, 0.000], [0.000, 0.000, 10.146]], "species": ["Zr", "Zr", "Zr", "Zr", "P", "P", "P", "P", "P", "P", "P", "P", "P", "P", "P", "P"], "frac_coords": [[0.000, 0.000, 0.000], [0.000, 0.000, 0.500], [0.333, 0.667, 0.250], [0.667, 0.333, 0.750], [0.000, 0.500, 0.000], [0.000, 0.500, 0.500], [0.143, 0.287, 0.750], [0.143, 0.857, 0.750], [0.287, 0.143, 0.250], [0.500, 0.000, 0.000], [0.500, 0.000, 0.500], [0.500, 0.500, 0.000], [0.500, 0.500, 0.500], [0.713, 0.857, 0.750], [0.857, 0.143, 0.250], [0.857, 0.713, 0.250]]}

=====

6.
{"formula": "Zr2P", "functional": "PBE-GGA", "state": "optimized geometry", "magnetic_moment_mub_per_atom": 0.0000, "final_energy_ev_per_atom": -8.539, "cell": [[6.438, 0.000, 0.000], [0.000, 6.438, 0.000], [0.000, 0.000, 5.375]], "species": ["Zr", "Zr", "Zr", "Zr", "Zr", "Zr", "Zr", "Zr", "P", "P", "P", "P"], "frac_coords": [[0.162, 0.338, 0.000], [0.162, 0.662, 0.500], [0.338, 0.162, 0.500], [0.338, 0.838, 0.000], [0.662, 0.162, 0.000], [0.662, 0.838, 0.500], [0.838, 0.338, 0.500], [0.838, 0.662, 0.000], [0.000, 0.000, 0.250], [0.000, 0.000, 0.750], [0.500, 0.500, 0.250], [0.500, 0.500, 0.750]]}

=====

7.
{"formula": "Zr5P4", "functional": "PBE-GGA", "state": "optimized geometry", "magnetic_moment_mub_per_atom": 0.0000, "final_energy_ev_per_atom": -8.313, "cell": [[8.009, 0.000, 0.000], [-4.004, 6.936, 0.000], [0.000, 0.000, 5.686]], "species": ["Zr", "Zr", "Zr", "Zr", "Zr", "Zr", "Zr", "Zr", "Zr", "Zr", "P", "P", "P", "P", "P", "P", "P", "P"], "frac_coords": [[0.000, 0.268, 0.250], [0.000, 0.732, 0.750], [0.268, 0.000, 0.250], [0.268, 0.268, 0.750], [0.333, 0.667, 0.000], [0.333, 0.667, 0.500], [0.667, 0.333, 0.000], [0.667, 0.333, 0.500], [0.732, 0.000, 0.750], [0.732, 0.732, 0.250], [0.000, 0.000, 0.000], [0.000, 0.000, 0.500], [0.000, 0.397, 0.750], [0.000, 0.603, 0.250], [0.397, 0.000, 0.750], [0.397, 0.397, 0.250], [0.603, 0.000, 0.250], [0.603, 0.603, 0.750]]}

=====

8.
{"formula": "ZrP3", "functional": "PBE-GGA", "state": "optimized geometry", "magnetic_moment_mub_per_atom": 0.0000, "final_energy_ev_per_atom": -6.481, "cell": [[5.038, 0.000, 0.000], [0.000, 5.038, 0.000], [0.000, 0.000, 5.038]], "species": ["Zr", "Zr", "P", "P", "P", "P", "P", "P"], "frac_coords": [[0.000, 0.000, 0.000], [0.500, 0.500, 0.500], [0.000, 0.250, 0.500], [0.000, 0.750, 0.500], [0.250, 0.500, 0.000], [0.500, 0.000, 0.250], [0.500, 0.000, 0.750], [0.750, 0.500, 0.000]]}

=====

9.
{"formula": "ZrP3", "functional": "PBE-GGA", "state": "optimized geometry", "magnetic_moment_mub_per_atom": 0.0000, "final_energy_ev_per_atom": -6.534, "cell": [[5.079, 0.000, 0.000], [0.000, 5.134, 0.000], [0.000, 0.000, 5.232]], "species": ["Zr", "Zr", "P", "P", "P", "P", "P", "P"], "frac_coords": [[0.250, 0.250, 0.044], [0.750, 0.750, 0.956], [0.025, 0.750, 0.477], [0.250, 0.750, 0.917], [0.475, 0.750, 0.477], [0.525, 0.250, 0.523], [0.750, 0.250, 0.083], [0.975, 0.250, 0.523]]}

=====

10.
{"formula": "ZrP", "functional": "PBE-GGA", "state": "optimized geometry", "magnetic_moment_mub_per_atom": 0.0000, "final_energy_ev_per_atom": -7.909, "cell": [[4.609, 0.000, 0.000], [0.000, 4.609, 0.000], [0.000, 0.000, 3.297]], "species": ["Zr", "Zr", "P", "P"], "frac_coords": [[0.250, 0.750, 0.000], [0.750, 0.250, 0.000], [0.250, 0.250, 0.460], [0.750, 0.750, 0.540]]}

=====

11.
{"formula": "Zr4P5", "functional": "PBE-GGA", "state": "optimized geometry", "magnetic_moment_mub_per_atom": 0.0000, "final_energy_ev_per_atom": -7.716, "cell": [[8.152, 0.000, 0.000], [-4.076, 7.060, 0.000], [0.000, 0.000, 5.438]], "species": ["Zr", "Zr", "Zr", "Zr", "Zr", "Zr", "Zr", "Zr", "P", "P", "P", "P", "P", "P", "P", "P", "P", "P"], "frac_coords": [[0.000, 0.000, 0.000], [0.000, 0.000, 0.500], [0.000, 0.379, 0.250], [0.000, 0.621, 0.750], [0.379, 0.000, 0.250], [0.379, 0.379, 0.750], [0.621, 0.000, 0.750], [0.621, 0.621, 0.250], [0.000, 0.282, 0.750], [0.000, 0.718, 0.250], [0.282, 0.000, 0.750], [0.282, 0.282, 0.250], [0.333, 0.667, 0.000], [0.333, 0.667, 0.500], [0.667, 0.333, 0.000], [0.667, 0.333, 0.500], [0.718, 0.000, 0.250], [0.718, 0.718, 0.750]]}

=====

12.
{"formula": "ZrP", "functional": "PBE-GGA", "state": "optimized geometry", "magnetic_moment_mub_per_atom": 0.0000, "final_energy_ev_per_atom": -8.354, "cell": [[3.708, 0.000, 0.000], [-1.854, 3.212, 0.000], [0.000, 0.000, 12.618]], "species": ["Zr", "Zr", "Zr", "Zr", "P", "P", "P", "P"], "frac_coords": [[0.333, 0.667, 0.116], [0.333, 0.667, 0.384], [0.667, 0.333, 0.616], [0.667, 0.333, 0.884], [0.000, 0.000, 0.000], [0.000, 0.000, 0.500], [0.333, 0.667, 0.750], [0.667, 0.333, 0.250]]}